# 1
First-principles (GGA-PBEsol) data for a geometry-optimized Mg2AlIn structure, as listed in Alexandria.

Unit cell a=5.189 b=5.189 c=5.370 alpha=100.25 beta=100.25 gamma=36.40
Element x y z (fractional)
Mg  0.246  0.246  0.241
Mg  0.754  0.754  0.759
Al  0.500  0.500  0.000
In  0.000  0.000  0.500

Results
Space-group type   C2/m, No. 12
V   84.3 Å³/cell
Energy relative to the elements   -0.011 eV per atom
Total moment   0.0 μB/f.u.

---

# 2
First-principles (GGA-PBEsol) data for a geometry-optimized ScTlAuF2 structure, as listed in Alexandria.

Unit cell a=3.983 b=3.983 c=6.295 alpha=90.00 beta=90.00 gamma=90.00
Element x y z (fractional)
Sc  0.000  0.000  0.000
Tl  0.000  0.000  0.500
Au  0.500  0.500  0.500
F  0.000  0.500  0.000
F  0.500  0.000  0.000

Results
DFT total energy   -0.3914 Ry per atom
Space-group type   P4/mmm, No. 123
V   99.9 Å³/cell
Total moment   0.0 μB/f.u.

---

# 3
First-principles (GGA-PBEsol) data for a geometry-optimized TlAgTe2 structure, as listed in Alexandria.

Unit cell a=3.135 b=4.167 c=8.454 alpha=90.00 beta=94.08 gamma=90.00
Element x y z (fractional)
Tl  0.000  0.000  0.000
Ag  0.500  0.000  0.500
Te  0.448  0.500  0.721
Te  0.552  0.500  0.279

Results
DFT total energy   -0.2437 Ry per atom
Space-group type   P2/m, No. 10
V   110.2 Å³/cell
Total moment   0.0 μB/f.u.

---

# 4
First-principles (GGA-PBEsol) data for a geometry-optimized YAlMo2 structure, as listed in Alexandria.

Unit cell a=10.001 b=10.001 c=10.001 alpha=16.47 beta=16.47 gamma=16.47
Element x y z (fractional)
Y  0.000  0.000  0.000
Al  0.500  0.500  0.500
Mo  0.241  0.241  0.241
Mo  0.759  0.759  0.759

Results
Space-group type   R-3m, No. 166
V   70.1 Å³/cell
Energy relative to the elements   0.450 eV per atom
Total moment   0.0 μB/f.u.

---

# 5
First-principles (GGA-PBEsol) data for a geometry-optimized TcAu structure, as listed in Alexandria.

Unit cell a=4.825 b=4.825 c=4.825 alpha=133.32 beta=130.54 gamma=70.37
Element x y z (fractional)
Tc  0.387  0.137  0.250
Tc  0.613  0.863  0.750
Au  0.128  0.378  0.750
Au  0.872  0.622  0.250

Results
Space-group type   Imma, No. 74
V   60.9 Å³/cell
Energy relative to the elements   0.292 eV per atom
Energy above the most stable polymorph in this dataset   237 meV per atom
Total moment   0.0 μB/f.u.

---

# 6
First-principles (GGA-PBEsol) data for a geometry-optimized NdGa2Co3 structure, as listed in Alexandria.

Unit cell a=8.816 b=8.816 c=3.949 alpha=90.00 beta=90.00 gamma=120.00
Element x y z (fractional)
Nd  0.000  0.000  0.000
Nd  0.333  0.667  0.000
Nd  0.667  0.333  0.000
Ga  0.173  0.346  0.500
Ga  0.173  0.827  0.500
Ga  0.346  0.173  0.500
Ga  0.654  0.827  0.500
Ga  0.827  0.173  0.500
Ga  0.827  0.654  0.500
Co  0.000  0.346  0.000
Co  0.000  0.500  0.500
Co  0.000  0.654  0.000
Co  0.346  0.000  0.000
Co  0.346  0.346  0.000
Co  0.500  0.000  0.500
Co  0.500  0.500  0.500
Co  0.654  0.000  0.000
Co  0.654  0.654  0.000

Results
Space-group type   P6/mmm, No. 191
V   265.8 Å³/cell
Energy relative to the elements   -0.318 eV per atom
Total moment   2.3 μB/f.u.

---

Question: Which of these has the highest total moment?
Answer: NdGa2Co3